Material: CaSi
Method: DFT, GGA-PBE
State: relaxed

Geometry as extended XYZ:
```
24
Lattice="14.582 0.000 0.000 0.000 3.773 0.000 0.000 0.000 11.151" Properties=species:S:1:pos:R:3 pbc="T T T"
Ca 1.590 0.943 0.275
Ca 2.232 0.943 7.092
Ca 2.679 0.943 3.710
Ca 4.612 2.830 9.286
Ca 5.059 2.830 1.516
Ca 5.701 2.830 5.850
Ca 8.881 0.943 5.301
Ca 9.523 0.943 9.635
Ca 9.970 0.943 1.865
Ca 11.903 2.830 7.441
Ca 12.350 2.830 4.059
Ca 12.992 2.830 10.877
Si 0.432 2.830 2.636
Si 0.627 2.830 5.155
Si 0.971 2.830 9.125
Si 6.320 0.943 3.549
Si 6.664 0.943 10.731
Si 6.859 0.943 8.212
Si 7.723 2.830 2.939
Si 7.918 2.830 0.420
Si 8.262 2.830 7.602
Si 13.611 0.943 2.026
Si 13.955 0.943 5.996
Si 14.150 0.943 8.515
```

## Properties
Uncorrected formation energy (meV per atom): -286
Density (g/cm3): 2.21